Record 1
This record from the Alexandria database describes a relaxed structure of SmErPtRh. The functional is GGA-PBE.

## Properties
Relative energy among the computed polymorphs: 0.00 eV per formula unit

abc: 4.3688 5.6433 5.6433
angles: 39.48 90.00 90.00
With the nearest neighbours (Å) after each atom.
Fractional coordinates of all 4 atoms:
Sm1 0.0000 0.0000 0.0000  3 Rh 2.82-3.14, 4 Pt 2.97
Er1 0.5000 0.2820 0.2820  4 Rh 2.94, 3 Pt 2.96-3.03
Pt1 0.5000 0.5607 0.5607  2 Rh 2.86, 3 Er 2.96-3.03, 4 Sm 2.97
Rh1 0.0000 0.7348 0.7348  3 Sm 2.82-3.14, 2 Pt 2.86, 4 Er 2.94

***

Record 2
This record from the Alexandria database describes a relaxed structure of ErSnPtRh. The functional is GGA-PBE.

abc: 4.7343 4.7343 4.7343
angles: 60.00 60.00 60.00
With the nearest neighbours (Å) after each atom.
Fractional coordinates of all 4 atoms:
Er1 0.0000 0.0000 0.0000  4 Rh 2.90, 4 Pt 2.90
Sn1 0.5000 0.5000 0.5000  4 Rh 2.90, 4 Pt 2.90
Pt1 0.2500 0.2500 0.2500  4 Sn 2.90, 4 Er 2.90
Rh1 0.7500 0.7500 0.7500  4 Sn 2.90, 4 Er 2.90

***

Record 3
This record from the Alexandria database describes a relaxed structure of SrErPtRh. The functional is GGA-PBE.

abc: 4.9822 4.9822 4.9822
angles: 60.00 60.00 60.00
With the nearest neighbours (Å) after each atom.
Fractional coordinates of all 4 atoms:
Sr1 0.0000 0.0000 0.0000  4 Rh 3.05, 4 Pt 3.05
Er1 0.5000 0.5000 0.5000  4 Pt 3.05, 4 Rh 3.05
Pt1 0.7500 0.7500 0.7500  4 Er 3.05, 4 Sr 3.05
Rh1 0.2500 0.2500 0.2500  4 Er 3.05, 4 Sr 3.05

***

Record 4
This record from the Alexandria database describes a relaxed structure of TbErPtRh. The functional is GGA-PBE.

## Properties
Relative energy among the computed polymorphs: 0.05 eV per formula unit

abc: 4.8825 4.8825 4.8825
angles: 60.00 60.00 60.00
With the nearest neighbours (Å) after each atom.
Fractional coordinates of all 4 atoms:
Tb1 0.0000 0.0000 0.0000  4 Rh 2.99, 4 Pt 2.99
Er1 0.5000 0.5000 0.5000  4 Rh 2.99, 4 Pt 2.99
Pt1 0.2500 0.2500 0.2500  4 Tb 2.99, 4 Er 2.99
Rh1 0.7500 0.7500 0.7500  4 Tb 2.99, 4 Er 2.99

***

no.,energy of formation from the pure elements (eV/f.u.),calculated total energy (eV/atom),size of the total moment (μB per cell)
1,-4.105,-6.695,0.0
2,-3.393,-6.338,0.0
3,-2.708,-5.586,0.0
4,-4.232,-6.704,0.0